VASP calculation (PBE-GGA) on a geometry-optimized BaLi6Zn6 structure.

Lattice parameters (Å, degrees): 7.279 7.279 7.279 137.59 99.49 95.56
Element x y z (fractional)
Ba 0.000 0.000 0.000
Li 0.224 0.500 0.724
Li 0.348 0.348 0.000
Li 0.358 0.000 0.358
Li 0.642 0.000 0.642
Li 0.652 0.652 0.000
Li 0.776 0.500 0.276
Zn 0.000 0.000 0.500
Zn 0.000 0.500 0.000
Zn 0.236 0.736 0.500
Zn 0.500 0.000 0.000
Zn 0.500 0.500 0.500
Zn 0.764 0.264 0.500

Calculated values
Formation enthalpy at 0 K in meV/atom: -157
Space-group type: Immm
DFT total energy in eV per atom: -1.776
Crystal system: orthorhombic